# AcB2MoO6, optimized geometry, DFT PBE with a Hubbard U
data_AcB2MoO6
_cell_length_a 5.090
_cell_length_b 5.090
_cell_length_c 6.429
_cell_angle_alpha 66.68
_cell_angle_beta 66.68
_cell_angle_gamma 60.00
_symmetry_space_group_name_H-M 'P 1'
_symmetry_Int_Tables_number 1
loop_
_symmetry_equiv_pos_as_xyz
'x,y,z'
loop_
_atom_site_label
_atom_site_type_symbol
_atom_site_fract_x
_atom_site_fract_y
_atom_site_fract_z
B1 B 0.239 0.239 0.282
B2 B 0.761 0.761 0.718
O1 O 0.049 0.509 0.728
O2 O 0.951 0.491 0.272
O3 O 0.714 0.049 0.728
O4 O 0.491 0.286 0.272
O5 O 0.286 0.951 0.272
O6 O 0.509 0.714 0.728
Mo1 Mo 0.500 0.500 0.500
Ac1 Ac 0.000 0.000 0.000
# Raw total energy, eV/atom: -8.028